The following is a DFT calculation (GGA-PBE) of a geometry-optimized Pt2Rh3 structure.

a = 5.136 Å, b = 4.614 Å, c = 8.161 Å
α = 90.00°, β = 90.00°, γ = 123.82°
Element x y z (fractional)
Pt (0.660, 0.320, 0.939)
Pt (0.340, 0.680, 0.061)
Pt (0.160, 0.320, 0.561)
Pt (0.840, 0.680, 0.439)
Rh (0.645, 0.790, 0.750)
Rh (0.000, 0.000, 0.000)
Rh (0.855, 0.210, 0.250)
Rh (0.145, 0.790, 0.750)
Rh (0.500, 0.000, 0.500)
Rh (0.355, 0.210, 0.250)

Summary:
Total magnetic moment   0.0 μB/f.u.
Polymorph energy (0 for the lowest one)   245 meV per atom
V   80 Å³/f.u.
SG   Cmce, No. 64
Uncorrected energy   -64.8 eV per cell
Energy of formation   349 meV/atom

=====

The following is a DFT calculation (GGA-PBE) of a geometry-optimized PtRh7 structure.

a = 5.456 Å, b = 5.456 Å, c = 5.456 Å
α = 60.00°, β = 60.00°, γ = 60.00°
Element x y z (fractional)
Pt (0.000, 0.000, 0.000)
Rh (0.000, 0.000, 0.500)
Rh (0.500, 0.500, 0.000)
Rh (0.000, 0.500, 0.500)
Rh (0.500, 0.500, 0.500)
Rh (0.500, 0.000, 0.500)
Rh (0.000, 0.500, 0.000)
Rh (0.500, 0.000, 0.000)

Summary:
Total magnetic moment   0.0 μB/f.u.
V   115 Å³/f.u.
SG   Fm-3m, No. 225
Uncorrected energy   -57.6 eV per cell
Energy of formation   -7 meV/atom

=====

The following is a DFT calculation (GGA-PBE) of a geometry-optimized Pt13Rh3 structure.

a = 5.616 Å, b = 5.616 Å, c = 7.804 Å
α = 90.00°, β = 90.00°, γ = 90.06°
Element x y z (fractional)
Pt (0.248, 0.248, 0.500)
Pt (0.999, 0.499, 0.752)
Pt (0.501, 0.499, 0.752)
Pt (0.248, 0.752, 0.000)
Pt (0.999, 0.499, 0.248)
Pt (0.248, 0.752, 0.500)
Pt (0.501, 0.001, 0.248)
Pt (0.752, 0.752, 0.000)
Pt (0.248, 0.248, 0.000)
Pt (0.501, 0.499, 0.248)
Pt (0.501, 0.001, 0.752)
Pt (0.752, 0.752, 0.500)
Pt (0.752, 0.248, 0.500)
Rh (0.999, 0.001, 0.247)
Rh (0.999, 0.001, 0.753)
Rh (0.753, 0.247, 0.000)

Summary:
Total magnetic moment   0.0 μB/f.u.
Polymorph energy (0 for the lowest one)   0 meV per atom
V   246 Å³/f.u.
SG   Amm2, No. 38
Uncorrected energy   -100.7 eV per cell
Energy of formation   -9 meV/atom

=====

The following is a DFT calculation (GGA-PBE) of a geometry-optimized Pt5Rh6 structure.

a = 3.867 Å, b = 8.596 Å, c = 7.205 Å
α = 126.62°, β = 105.57°, γ = 63.25°
Element x y z (fractional)
Rh (0.739, 0.761, 0.000)
Rh (0.242, 0.595, 0.674)
Rh (0.758, 0.405, 0.326)
Rh (0.261, 0.239, 0.000)
Rh (0.242, 0.921, 0.326)
Rh (0.758, 0.079, 0.674)
Pt (0.500, 0.162, 0.324)
Pt (0.500, 0.838, 0.676)
Pt (0.000, 0.335, 0.670)
Pt (0.500, 0.500, 0.000)
Pt (0.000, 0.665, 0.330)

Summary:
Total magnetic moment   0.0 μB/f.u.
V   172 Å³/f.u.
SG   Immm, No. 71
Uncorrected energy   -73.1 eV per cell
Energy of formation   106 meV/atom

=====

The following is a DFT calculation (GGA-PBE) of a geometry-optimized Pt3Rh structure.

a = 4.796 Å, b = 9.163 Å, c = 5.582 Å
α = 90.00°, β = 90.00°, γ = 90.00°
Element x y z (fractional)
Pt (0.251, 0.501, 0.875)
Pt (0.915, 0.250, 0.877)
Pt (0.749, 0.499, 0.125)
Pt (0.749, 0.001, 0.125)
Pt (0.249, 0.499, 0.375)
Pt (0.249, 0.001, 0.375)
Pt (0.751, 0.501, 0.625)
Pt (0.585, 0.750, 0.377)
Pt (0.085, 0.750, 0.123)
Pt (0.415, 0.250, 0.623)
Pt (0.751, 0.999, 0.625)
Pt (0.251, 0.999, 0.875)
Rh (0.918, 0.250, 0.372)
Rh (0.418, 0.250, 0.128)
Rh (0.082, 0.750, 0.628)
Rh (0.582, 0.750, 0.872)

Summary:
Total magnetic moment   0.0 μB/f.u.
V   61 Å³/f.u.
SG   Pnma, No. 62
Uncorrected energy   -101.6 eV per cell
Energy of formation   18 meV/atom

=====

The following is a DFT calculation (GGA-PBE) of a geometry-optimized Pt3Rh5 structure.

a = 5.295 Å, b = 7.262 Å, c = 7.262 Å
α = 81.80°, β = 67.02°, γ = 67.02°
Element x y z (fractional)
Pt (0.253, 0.832, 0.420)
Pt (0.247, 0.580, 0.168)
Pt (0.750, 0.041, 0.959)
Pt (0.753, 0.420, 0.833)
Pt (0.250, 0.959, 0.042)
Pt (0.747, 0.168, 0.581)
Rh (0.745, 0.917, 0.335)
Rh (0.750, 0.791, 0.706)
Rh (0.250, 0.209, 0.295)
Rh (0.245, 0.334, 0.917)
Rh (0.750, 0.542, 0.458)
Rh (0.755, 0.666, 0.084)
Rh (0.750, 0.294, 0.210)
Rh (0.250, 0.706, 0.791)
Rh (0.250, 0.458, 0.542)
Rh (0.255, 0.083, 0.666)

Summary:
Total magnetic moment   0.0 μB/f.u.
Polymorph energy (0 for the lowest one)   51 meV per atom
V   118 Å³/f.u.
SG   C2/c, No. 15
Uncorrected energy   -109.2 eV per cell
Energy of formation   32 meV/atom

=====

The following is a DFT calculation (GGA-PBE) of a geometry-optimized Pt3Rh structure.

a = 4.770 Å, b = 2.743 Å, c = 4.740 Å
α = 90.48°, β = 90.00°, γ = 90.00°
Element x y z (fractional)
Rh (0.500, 0.000, 0.500)
Pt (0.000, 0.249, 0.748)
Pt (0.000, 0.751, 0.252)
Pt (0.500, 0.500, 0.000)

Summary:
Total magnetic moment   0.0 μB/f.u.
V   62 Å³/f.u.
SG   P2/m, No. 10
Uncorrected energy   -25.3 eV per cell
Energy of formation   36 meV/atom

=====

The following is a DFT calculation (GGA-PBE) of a geometry-optimized PtRh5 structure.

a = 5.012 Å, b = 5.012 Å, c = 4.428 Å
α = 90.00°, β = 90.00°, γ = 120.00°
Each line ends with the local moment (μB).
Element x y z (fractional)
Pt (0.000, 0.000, 0.000)  0.07
Rh (0.667, 0.333, 0.000)  0.01
Rh (0.500, 0.000, 0.500)  0.17
Rh (0.000, 0.500, 0.500)  0.17
Rh (0.333, 0.667, 0.000)  0.01
Rh (0.500, 0.500, 0.500)  0.17

Summary:
Total magnetic moment   0.6 μB/f.u.
Polymorph energy (0 for the lowest one)   553 meV per atom
V   96 Å³/f.u.
SG   P6/mmm, No. 191
Uncorrected energy   -39.6 eV per cell
Energy of formation   540 meV/atom

=====

The following is a DFT calculation (GGA-PBE) of a geometry-optimized PtRh structure.

a = 6.912 Å, b = 6.912 Å, c = 6.912 Å
α = 90.00°, β = 90.00°, γ = 90.00°
Element x y z (fractional)
Pt (0.000, 0.250, 0.500)
Pt (0.750, 0.500, 0.000)
Pt (0.500, 0.000, 0.250)
Pt (0.000, 0.750, 0.500)
Pt (0.250, 0.500, 0.000)
Pt (0.500, 0.000, 0.750)
Rh (0.000, 0.500, 0.250)
Rh (0.000, 0.500, 0.750)
Rh (0.500, 0.250, 0.000)
Rh (0.250, 0.000, 0.500)
Rh (0.750, 0.000, 0.500)
Rh (0.500, 0.750, 0.000)

Summary:
Total magnetic moment   0.0 μB/f.u.
V   55 Å³/f.u.
SG   Pm-3n, No. 223
Uncorrected energy   -68.3 eV per cell
Energy of formation   1004 meV/atom

=====

The following is a DFT calculation (GGA-PBE) of a geometry-optimized Pt5Rh4 structure.

a = 3.908 Å, b = 6.191 Å, c = 6.191 Å
α = 84.35°, β = 71.64°, γ = 71.64°
Element x y z (fractional)
Rh (0.666, 0.334, 0.334)
Rh (0.334, 0.666, 0.666)
Rh (0.334, 0.999, 0.333)
Rh (0.666, 0.667, 0.001)
Pt (0.000, 0.336, 0.664)
Pt (0.669, 0.997, 0.664)
Pt (0.000, 0.667, 0.333)
Pt (0.331, 0.336, 0.003)
Pt (0.000, 0.997, 0.003)

Summary:
Total magnetic moment   0.0 μB/f.u.
Polymorph energy (0 for the lowest one)   0 meV per atom
V   135 Å³/f.u.
SG   Immm, No. 71
Uncorrected energy   -59.8 eV per cell
Energy of formation   -22 meV/atom

=====

The following is a DFT calculation (GGA-PBE) of a geometry-optimized Pt4Rh structure.

a = 5.792 Å, b = 5.792 Å, c = 4.817 Å
α = 90.00°, β = 90.00°, γ = 90.00°
Element x y z (fractional)
Rh (0.000, 0.000, 0.250)
Rh (0.000, 0.000, 0.750)
Pt (0.376, 0.195, 0.500)
Pt (0.624, 0.805, 0.500)
Pt (0.805, 0.376, 0.500)
Pt (0.195, 0.624, 0.500)
Pt (0.624, 0.195, 0.000)
Pt (0.195, 0.376, 0.000)
Pt (0.805, 0.624, 0.000)
Pt (0.376, 0.805, 0.000)

Summary:
Total magnetic moment   0.0 μB/f.u.
Polymorph energy (0 for the lowest one)   212 meV per atom
V   81 Å³/f.u.
SG   P4/mcc, No. 124
Uncorrected energy   -61.1 eV per cell
Energy of formation   190 meV/atom

=====

The following is a DFT calculation (GGA-PBE) of a geometry-optimized Pt3Rh structure.

a = 5.031 Å, b = 5.031 Å, c = 5.031 Å
α = 90.00°, β = 90.00°, γ = 90.00°
Each line ends with the local moment (μB).
Element x y z (fractional)
Pt (0.750, 0.500, 0.000)  0.18
Pt (0.500, 0.000, 0.750)  0.18
Pt (0.000, 0.250, 0.500)  0.18
Pt (0.000, 0.750, 0.500)  0.18
Pt (0.250, 0.500, 0.000)  0.18
Pt (0.500, 0.000, 0.250)  0.18
Rh (0.000, 0.000, 0.000)  0.51
Rh (0.500, 0.500, 0.500)  0.51

Summary:
Total magnetic moment   1.1 μB/f.u.
V   64 Å³/f.u.
SG   Pm-3n, No. 223
Uncorrected energy   -48.9 eV per cell
Energy of formation   255 meV/atom

=====

The following is a DFT calculation (GGA-PBE) of a geometry-optimized Pt4Rh structure.

a = 4.744 Å, b = 4.744 Å, c = 4.744 Å
α = 90.00°, β = 90.00°, γ = 90.00°
Each line ends with the local moment (μB).
Element x y z (fractional)
Pt (0.000, 0.000, 0.000)  0.01
Pt (0.000, 0.500, 0.500)  0.26
Pt (0.500, 0.500, 0.000)  0.26
Pt (0.500, 0.000, 0.500)  0.26
Rh (0.500, 0.500, 0.500)  0.75

Summary:
Total magnetic moment   1.6 μB/f.u.
Polymorph energy (0 for the lowest one)   1604 meV per atom
V   107 Å³/f.u.
SG   Pm-3m, No. 221
Uncorrected energy   -23.6 eV per cell
Energy of formation   1581 meV/atom

=====

The following is a DFT calculation (GGA-PBE) of a geometry-optimized Pt2Rh3 structure.

a = 7.728 Å, b = 7.728 Å, c = 7.728 Å
α = 27.29°, β = 27.29°, γ = 27.29°
Element x y z (fractional)
Rh (0.198, 0.198, 0.198)
Rh (0.000, 0.000, 0.000)
Rh (0.802, 0.802, 0.802)
Pt (0.599, 0.599, 0.599)
Pt (0.401, 0.401, 0.401)

Summary:
Total magnetic moment   0.0 μB/f.u.
Polymorph energy (0 for the lowest one)   532 meV per atom
V   86 Å³/f.u.
SG   R-3m, No. 166
Uncorrected energy   -31.0 eV per cell
Energy of formation   636 meV/atom

=====

The following is a DFT calculation (GGA-PBE) of a geometry-optimized Pt3Rh4 structure.

a = 9.767 Å, b = 9.767 Å, c = 9.767 Å
α = 160.32°, β = 160.32°, γ = 27.97°
Element x y z (fractional)
Rh (0.141, 0.141, 0.000)
Rh (0.428, 0.428, 0.000)
Rh (0.859, 0.859, 0.000)
Rh (0.572, 0.572, 0.000)
Pt (0.713, 0.713, 0.000)
Pt (0.287, 0.287, 0.000)
Pt (0.000, 0.000, 0.000)

Summary:
Total magnetic moment   0.0 μB/f.u.
Polymorph energy (0 for the lowest one)   111 meV per atom
V   106 Å³/f.u.
SG   I4/mmm, No. 139
Uncorrected energy   -46.9 eV per cell
Energy of formation   90 meV/atom

=====

The following is a DFT calculation (GGA-PBE) of a geometry-optimized PtRh5 structure.

a = 7.238 Å, b = 2.738 Å, c = 5.231 Å
α = 74.83°, β = 119.51°, γ = 100.90°
Element x y z (fractional)
Rh (0.720, 0.613, 0.493)
Rh (0.391, 0.944, 0.502)
Rh (0.058, 0.276, 0.505)
Rh (0.337, 0.668, 0.000)
Rh (0.662, 0.332, 0.998)
Pt (0.000, 0.999, 0.001)

Summary:
Total magnetic moment   0.0 μB/f.u.
Polymorph energy (0 for the lowest one)   51 meV per atom
V   87 Å³/f.u.
SG   Cm, No. 8
Uncorrected energy   -42.6 eV per cell
Energy of formation   38 meV/atom

=====

The following is a DFT calculation (GGA-PBE) of a geometry-optimized Pt3Rh structure.

a = 9.232 Å, b = 2.789 Å, c = 2.789 Å
α = 120.00°, β = 98.69°, γ = 81.31°
Element x y z (fractional)
Pt (0.494, 0.502, 0.498)
Pt (0.006, 0.998, 0.002)
Pt (0.750, 0.750, 0.250)
Rh (0.250, 0.250, 0.750)

Summary:
Total magnetic moment   0.0 μB/f.u.
V   61 Å³/f.u.
SG   R-3m, No. 166
Uncorrected energy   -25.5 eV per cell
Energy of formation   -10 meV/atom

=====

The following is a DFT calculation (GGA-PBE) of a geometry-optimized PtRh structure.

a = 3.875 Å, b = 3.875 Å, c = 5.361 Å
α = 90.00°, β = 90.00°, γ = 120.00°
Element x y z (fractional)
Pt (0.667, 0.333, 0.750)
Pt (0.333, 0.667, 0.250)
Rh (0.000, 0.000, 0.500)
Rh (0.000, 0.000, 0.000)

Summary:
Total magnetic moment   0.0 μB/f.u.
V   35 Å³/f.u.
SG   P6_3/mmc, No. 194
Uncorrected energy   -25.1 eV per cell
Energy of formation   426 meV/atom

=====

The following is a DFT calculation (GGA-PBE) of a geometry-optimized Pt3Rh5 structure.

a = 2.749 Å, b = 2.749 Å, c = 15.585 Å
α = 90.00°, β = 90.00°, γ = 90.00°
Element x y z (fractional)
Rh (0.500, 0.500, 0.628)
Rh (0.000, 0.000, 0.253)
Rh (0.000, 0.000, 0.747)
Rh (0.500, 0.500, 0.372)
Rh (0.000, 0.000, 0.000)
Pt (0.000, 0.000, 0.500)
Pt (0.500, 0.500, 0.126)
Pt (0.500, 0.500, 0.874)

Summary:
Total magnetic moment   0.0 μB/f.u.
Polymorph energy (0 for the lowest one)   0 meV per atom
V   118 Å³/f.u.
SG   P4/mmm, No. 123
Uncorrected energy   -55.0 eV per cell
Energy of formation   -19 meV/atom

=====

The following is a DFT calculation (GGA-PBE) of a geometry-optimized Pt5Rh2 structure.

a = 3.929 Å, b = 4.820 Å, c = 7.371 Å
α = 109.00°, β = 105.52°, γ = 114.17°
Element x y z (fractional)
Pt (0.284, 0.640, 0.428)
Pt (0.000, 0.500, 0.000)
Pt (0.147, 0.076, 0.719)
Pt (0.716, 0.360, 0.572)
Pt (0.853, 0.924, 0.281)
Rh (0.575, 0.791, 0.860)
Rh (0.425, 0.209, 0.140)

Summary:
Total magnetic moment   0.0 μB/f.u.
V   107 Å³/f.u.
SG   P-1, No. 2
Uncorrected energy   -45.1 eV per cell
Energy of formation   -22 meV/atom

=====

The following is a DFT calculation (GGA-PBE) of a geometry-optimized PtRh structure.

a = 7.408 Å, b = 6.794 Å, c = 5.015 Å
α = 90.00°, β = 90.00°, γ = 90.00°
Element x y z (fractional)
Pt (0.959, 0.000, 0.500)
Pt (0.000, 0.376, 0.750)
Pt (0.500, 0.124, 0.250)
Pt (0.459, 0.500, 0.500)
Pt (0.041, 0.000, 0.000)
Pt (0.500, 0.876, 0.750)
Pt (0.000, 0.624, 0.250)
Pt (0.541, 0.500, 0.000)
Rh (0.682, 0.794, 0.289)
Rh (0.682, 0.206, 0.711)
Rh (0.818, 0.706, 0.789)
Rh (0.318, 0.794, 0.211)
Rh (0.818, 0.294, 0.211)
Rh (0.318, 0.206, 0.789)
Rh (0.182, 0.706, 0.711)
Rh (0.182, 0.294, 0.289)

Summary:
Total magnetic moment   0.0 μB/f.u.
V   32 Å³/f.u.
SG   C222_1, No. 20
Uncorrected energy   -103.9 eV per cell
Energy of formation   202 meV/atom

=====

The following is a DFT calculation (GGA-PBE) of a geometry-optimized PtRh structure.

a = 2.752 Å, b = 2.752 Å, c = 9.164 Å
α = 90.00°, β = 90.00°, γ = 120.00°
Element x y z (fractional)
Pt (0.333, 0.667, 0.256)
Pt (0.000, 0.000, 0.994)
Rh (0.333, 0.667, 0.743)
Rh (0.000, 0.000, 0.507)

Summary:
Total magnetic moment   0.0 μB/f.u.
V   30 Å³/f.u.
SG   P-3m1, No. 164
Uncorrected energy   -26.6 eV per cell
Energy of formation   47 meV/atom

=====

The following is a DFT calculation (GGA-PBE) of a geometry-optimized Pt3Rh structure.

a = 2.791 Å, b = 4.817 Å, c = 4.833 Å
α = 99.85°, β = 90.00°, γ = 106.84°
Element x y z (fractional)
Rh (0.750, 0.500, 0.250)
Pt (0.002, 0.003, 0.003)
Pt (0.498, 0.997, 0.497)
Pt (0.250, 0.500, 0.750)

Summary:
Total magnetic moment   0.0 μB/f.u.
V   61 Å³/f.u.
SG   C2/m, No. 12
Uncorrected energy   -25.5 eV per cell
Energy of formation   -16 meV/atom

=====

The following is a DFT calculation (GGA-PBE) of a geometry-optimized Pt5Rh3 structure.

a = 5.072 Å, b = 7.509 Å, c = 7.420 Å
α = 83.43°, β = 70.19°, γ = 70.26°
Element x y z (fractional)
Pt (0.724, 0.842, 0.691)
Pt (0.230, 0.500, 0.541)
Pt (0.770, 0.500, 0.460)
Pt (0.635, 0.699, 0.145)
Pt (0.363, 0.301, 0.857)
Pt (0.165, 0.699, 0.857)
Pt (0.066, 0.158, 0.691)
Pt (0.935, 0.843, 0.308)
Pt (0.834, 0.301, 0.145)
Pt (0.277, 0.157, 0.308)
Rh (0.736, 0.030, 0.999)
Rh (0.333, 0.834, 0.501)
Rh (0.667, 0.166, 0.501)
Rh (0.726, 0.500, 0.838)
Rh (0.273, 0.500, 0.164)
Rh (0.265, 0.970, 0.999)

Summary:
Total magnetic moment   0.0 μB/f.u.
V   125 Å³/f.u.
SG   Cm, No. 8
Uncorrected energy   -101.8 eV per cell
Energy of formation   171 meV/atom